LuC2 after structural relaxation. Source: Alexandria via LeMat-Bulk, functional GGA-PBE.

The structure in extended XYZ format:
```
3
Lattice="-2.800 -2.524 0.586 3.714 -0.776 0.402 0.153 -0.764 3.735" Properties=species:S:1:pos:R:3 pbc="T T T"
C -0.116 -1.011 3.158
C -2.242 -2.278 0.891
Lu 2.078 -0.771 1.933
```

Energy relative to the lowest polymorph listed for this composition: 67 meV per atom
Volume: 41 Å³ per cell
Energy relative to the elements: -0.4 eV per formula unit

Ti3ZnN after structural relaxation. Source: Alexandria via LeMat-Bulk, functional GGA-PBE.

The structure in extended XYZ format:
```
5
Lattice="3.878 0.000 0.000 0.000 3.878 0.000 0.000 0.000 7.046" Properties=species:S:1:pos:R:3 pbc="T T T"
Zn 0.000 0.000 1.115
N 1.939 1.939 2.819
Ti 0.000 0.000 5.394
Ti 1.939 0.000 3.311
Ti 0.000 1.939 3.311
```

Energy relative to the lowest polymorph listed for this composition: 1051 meV per atom
Uncorrected formation energy: 152 meV/atom
Volume: 106 Å³ per cell

Nd3AgIr after structural relaxation. Source: Alexandria via LeMat-Bulk, functional GGA-PBE.

The structure in extended XYZ format:
```
20
Lattice="4.784 0.000 0.000 0.000 7.529 0.000 0.000 0.000 15.623" Properties=species:S:1:pos:R:3 pbc="T T T"
Nd 1.196 6.521 0.769
Nd 3.588 2.385 11.250
Nd 3.588 7.437 6.256
Nd 3.588 3.672 1.555
Nd 3.588 1.008 14.854
Nd 1.196 3.857 14.068
Nd 1.196 2.757 7.042
Nd 3.588 6.149 12.184
Nd 1.196 1.380 3.439
Nd 1.196 5.144 4.373
Nd 3.588 4.772 8.580
Nd 1.196 0.092 9.366
Ag 3.588 2.985 4.865
Ag 1.196 4.543 10.757
Ag 3.588 6.750 2.946
Ag 1.196 0.779 12.677
Ir 1.196 5.787 7.119
Ir 1.196 2.022 0.692
Ir 3.588 5.507 14.930
Ir 3.588 1.742 8.504
```

Energy relative to the lowest polymorph listed for this composition: 0 meV per atom
Volume: 563 Å³ per cell
Energy relative to the elements: -2.1 eV per formula unit

GdCu4Pd after structural relaxation. Source: Alexandria via LeMat-Bulk, functional GGA-PBE.

The structure in extended XYZ format:
```
6
Lattice="-4.950 -0.262 1.636 -2.436 -4.508 0.999 -1.333 -1.512 4.815" Properties=species:S:1:pos:R:3 pbc="T T T"
Gd -8.711 -6.276 7.445
Cu -4.278 -1.710 4.196
Cu -3.024 -3.826 3.878
Cu -4.828 -3.203 2.293
Cu -2.016 -1.453 1.723
Pd -5.477 -3.946 4.681
```

Energy relative to the lowest polymorph listed for this composition: 35 meV per atom
Volume: 93 Å³ per cell
Energy relative to the elements: -1.8 eV per formula unit

Hf5TiRh4 after structural relaxation. Source: Alexandria via LeMat-Bulk, functional GGA-PBE.

The structure in extended XYZ format:
```
10
Lattice="3.301 0.000 0.000 0.000 3.301 0.000 0.000 0.000 16.362" Properties=species:S:1:pos:R:3 pbc="T T T"
Hf 1.650 1.650 1.777
Hf 1.650 1.650 4.975
Hf 1.650 1.650 8.181
Hf 1.650 1.650 11.387
Hf 1.650 1.650 14.585
Ti 0.000 0.000 0.000
Rh 0.000 0.000 3.455
Rh 0.000 0.000 6.591
Rh 0.000 0.000 9.771
Rh 0.000 0.000 12.907
```

Volume: 178 Å³ per cell
Energy relative to the elements: -7.1 eV per formula unit

HoSnPb2S5 after structural relaxation. Source: Alexandria via LeMat-Bulk, functional GGA-PBE.

The structure in extended XYZ format:
```
18
Lattice="4.088 0.000 0.000 -2.044 8.671 0.000 0.000 0.000 13.149" Properties=species:S:1:pos:R:3 pbc="T T T"
Ho 2.044 4.897 6.820
Ho 0.000 3.774 0.246
Sn 2.044 0.686 12.490
Sn 0.000 7.985 5.916
Pb 2.044 6.366 10.348
Pb 0.000 1.980 8.754
Pb 0.000 2.305 3.773
Pb 2.044 6.692 2.179
S 0.000 6.451 0.203
S 2.044 3.195 11.655
S 0.000 8.413 10.123
S 0.000 4.817 8.687
S 2.044 7.647 7.501
S 2.044 2.220 6.778
S 0.000 5.476 5.080
S 2.044 0.258 3.548
S 2.044 3.854 2.112
S 0.000 1.024 0.927
```

Uncorrected formation energy: -845 meV/atom
Volume: 466 Å³ per cell

CaAc2Pa after structural relaxation. Source: Alexandria via LeMat-Bulk, functional GGA-PBE.

The structure in extended XYZ format:
```
4
Lattice="3.591 0.000 0.000 1.795 3.110 0.000 1.795 1.037 13.446" Properties=species:S:1:pos:R:3 pbc="T T T"
Ac 1.795 1.037 10.098
Ac 5.386 3.110 3.348
Pa 0.000 0.000 0.000
Ca 3.591 2.073 6.723
```

Volume: 150 Å³ per cell
Energy relative to the elements: 2.1 eV per formula unit

Co3PdCl after structural relaxation. Source: Alexandria via LeMat-Bulk, functional GGA-PBE.

The structure in extended XYZ format:
```
5
Lattice="4.680 0.000 0.000 0.000 4.680 0.000 0.000 0.000 4.680" Properties=species:S:1:pos:R:3 pbc="T T T"
Co 0.000 2.340 0.000
Co 0.000 0.000 2.340
Co 2.340 0.000 0.000
Pd 0.000 0.000 0.000
Cl 2.340 2.340 2.340
```

Energy relative to the lowest polymorph listed for this composition: 618 meV per atom
Uncorrected formation energy: 1310 meV/atom
Volume: 103 Å³ per cell

TcAg3Mo after structural relaxation. Source: Alexandria via LeMat-Bulk, functional GGA-PBE.

The structure in extended XYZ format:
```
5
Lattice="5.008 0.000 0.000 0.000 5.008 0.000 0.000 0.000 5.008" Properties=species:S:1:pos:R:3 pbc="T T T"
Mo 0.000 0.000 0.000
Tc 2.504 2.504 2.504
Ag 0.000 2.504 0.000
Ag 0.000 0.000 2.504
Ag 2.504 0.000 0.000
```

Energy relative to the lowest polymorph listed for this composition: 0 meV per atom
Volume: 126 Å³ per cell
Energy relative to the elements: 10.7 eV per formula unit

CoBi2Br2 after structural relaxation. Source: Alexandria via LeMat-Bulk, functional GGA-PBE.

The structure in extended XYZ format:
```
5
Lattice="4.208 0.000 0.000 0.000 4.208 0.000 2.104 2.104 9.639" Properties=species:S:1:pos:R:3 pbc="T T T"
Co 0.000 0.000 0.000
Bi 4.208 2.104 4.819
Bi 2.104 4.208 4.819
Br 2.104 2.104 1.621
Br 4.208 4.208 8.018
```

Energy relative to the lowest polymorph listed for this composition: 536 meV per atom
Uncorrected formation energy: 700 meV/atom
Volume: 171 Å³ per cell

Sr5As3 after structural relaxation. Source: Alexandria via LeMat-Bulk, functional GGA-PBE.

The structure in extended XYZ format:
```
8
Lattice="1.680 6.562 -3.623 -6.220 -3.538 -2.793 -2.807 2.454 3.142" Properties=species:S:1:pos:R:3 pbc="T T T"
Sr 0.000 0.000 0.000
Sr -3.110 -1.769 -1.397
Sr 0.840 3.281 -1.812
Sr -2.709 2.096 -0.273
Sr -4.638 3.381 -3.001
As -2.270 1.512 -3.208
As -1.053 6.089 -1.913
As -6.294 -0.612 -1.362
```

Energy relative to the lowest polymorph listed for this composition: 161 meV per atom
Volume: 264 Å³ per cell
Energy relative to the elements: -7.2 eV per formula unit

Ca2TaAu after structural relaxation. Source: Alexandria via LeMat-Bulk, functional GGA-PBE.

The structure in extended XYZ format:
```
4
Lattice="-1.024 -1.099 -3.009 -2.935 -0.943 1.343 -3.530 8.351 -1.849" Properties=species:S:1:pos:R:3 pbc="T T T"
Ca -3.315 7.843 -1.737
Ca -3.044 1.498 -1.391
Au -4.489 4.915 -2.147
Ta -1.935 4.577 -1.014
```

Energy relative to the lowest polymorph listed for this composition: 1 meV per atom
Volume: 105 Å³ per cell
Energy relative to the elements: 0.5 eV per formula unit

Magnetic moment: 0.0 2.7 0.0 7.1 0.0 0.0 0.0 6.8 3.2 2.4 0.0 0.0 (μB/cell)
Uncorrected energy: -0.2857 -0.2390 -0.2069 -0.2294 -0.3461 -0.1806 -0.1616 -0.1603 -0.1403 -0.1081 -0.1360 -0.1711 (hartree per atom)